Entry 1:
Entry from the Alexandria database: a relaxed Ac6RuN2Cl3 crystal (GGA-PBE).

Output
Theoretical density   8082 kg/m3
Energy relative to the elements, uncorrected   -1.19 eV/atom
Calculated total energy   -70.437 eV/cell

a = 9.8987 Å, b = 9.8987 Å, c = 9.0924 Å
α = 111.45°, β = 111.45°, γ = 23.40°
With the nearest neighbours (Å) after each atom.
Fractional coordinates of all 12 atoms:
Ac  0.0218  0.0218  0.2435  1 N 2.72, 2 Ru 2.90
Ac  0.3173  0.3173  0.4415  3 N 2.61-2.75
Ac  0.3385  0.3385  0.8697  2 N 2.75, 1 Ru 2.90
Ac  0.6615  0.6615  0.1303  2 N 2.75, 1 Ru 2.90
Ac  0.6827  0.6827  0.5585  3 N 2.61-2.75
Ac  0.9782  0.9782  0.7565  1 N 2.72, 2 Ru 2.90
Ru  0.5000  0.5000  0.0000  6 Ac 2.90
N  0.1725  0.1725  0.3447  6 Ac 2.61-2.75
N  0.8275  0.8275  0.6553  6 Ac 2.61-2.75
Cl  0.1620  0.1620  0.8302  6 Ac 3.30-3.39
Cl  0.5000  0.5000  0.5000  6 Ac 3.22-3.38
Cl  0.8380  0.8380  0.1698  6 Ac 3.30-3.39

Entry 2:
Entry from the Alexandria database: a relaxed Sm4Er4Cd crystal (GGA-PBE).

Output
Theoretical density   8292 kg/m3
Calculated total energy   -38.178 eV/cell
ΔE_f   -0.015 eV per atom

a = 7.8683 Å, b = 7.8683 Å, c = 7.8683 Å
α = 95.72°, β = 95.72°, γ = 143.19°
With the nearest neighbours (Å) after each atom.
Fractional coordinates of all 9 atoms:
Sm  0.1644  0.1644  0.3289  4 Sm 3.47-3.56, 2 Cd 3.49, 6 Er 3.52-3.54
Sm  0.1644  0.8356  0.0000  4 Sm 3.47-3.56, 2 Cd 3.49, 6 Er 3.52-3.54
Sm  0.8356  0.1644  0.0000  4 Sm 3.47-3.56, 2 Cd 3.49, 6 Er 3.52-3.54
Sm  0.8356  0.8356  0.6711  4 Sm 3.47-3.56, 2 Cd 3.49, 6 Er 3.52-3.54
Er  0.1659  0.5000  0.6659  5 Er 3.50-3.51, 6 Sm 3.52-3.54, 1 Cd 3.53
Er  0.5000  0.1659  0.6659  5 Er 3.50-3.51, 6 Sm 3.52-3.54, 1 Cd 3.53
Er  0.5000  0.8341  0.3341  5 Er 3.50-3.51, 6 Sm 3.52-3.54, 1 Cd 3.53
Er  0.8341  0.5000  0.3341  5 Er 3.50-3.51, 6 Sm 3.52-3.54, 1 Cd 3.53
Cd  0.5000  0.5000  0.0000  8 Sm 3.49, 4 Er 3.53

Entry 3:
Entry from the Alexandria database: a relaxed Pm2Pr3Ho crystal (GGA-PBE).

Output
Theoretical density   6960 kg/m3
Energy above the lowest structure with this stoichiometry   43.4 meV/atom
Calculated total energy   -27.857 eV/cell
ΔE_f   0.093 eV per atom

a = 9.7519 Å, b = 9.7519 Å, c = 3.7703 Å
α = 90.00°, β = 90.00°, γ = 144.27°
With the nearest neighbours (Å) after each atom.
Fractional coordinates of all 6 atoms:
Pm  0.1790  0.8210  0.0000  8 Pr 3.57-3.82, 4 Pm 3.77-3.99
Pm  0.8210  0.1790  0.0000  8 Pr 3.57-3.82, 4 Pm 3.77-3.99
Pr  0.0000  0.0000  0.5000  4 Ho 3.54, 2 Pr 3.77, 4 Pm 3.82
Pr  0.3481  0.6519  0.5000  2 Ho 3.39, 6 Pm 3.57-3.66, 2 Pr 3.77
Pr  0.6519  0.3481  0.5000  2 Ho 3.39, 6 Pm 3.57-3.66, 2 Pr 3.77
Ho  0.5000  0.5000  0.0000  8 Pr 3.39-3.54, 2 Ho 3.77

Entry 4:
Entry from the Alexandria database: a relaxed Rb2NaTl5Cd2 crystal (GGA-PBE).

Output
Theoretical density   7094 kg/m3
Calculated total energy   -34.639 eV/cell
ΔE_f   -0.040 eV per atom

a = 12.3076 Å, b = 12.3076 Å, c = 4.4524 Å
α = 90.00°, β = 90.00°, γ = 90.00°
With the nearest neighbours (Å) after each atom.
Fractional coordinates of all 20 atoms:
Rb  0.1757  0.3243  0.0000  3 Cd 3.47-3.75, 2 Tl 3.78
Rb  0.3243  0.8243  0.0000  3 Cd 3.47-3.75, 2 Tl 3.78
Rb  0.6757  0.1757  0.0000  3 Cd 3.47-3.75, 2 Tl 3.78
Rb  0.8243  0.6757  0.0000  3 Cd 3.47-3.75, 2 Tl 3.78
Na  0.0000  0.0000  0.0000  8 Tl 3.36
Na  0.5000  0.5000  0.0000  8 Tl 3.36
Tl  0.0000  0.5000  0.5000  4 Cd 3.11
Tl  0.0594  0.8045  0.5000  2 Cd 3.24, 2 Na 3.36, 2 Tl 3.56
Tl  0.1955  0.0594  0.5000  2 Cd 3.24, 2 Na 3.36, 2 Tl 3.56
Tl  0.3045  0.5594  0.5000  2 Cd 3.24, 2 Na 3.36, 2 Tl 3.56
Tl  0.4406  0.3045  0.5000  2 Cd 3.24, 2 Na 3.36, 2 Tl 3.56
Tl  0.5000  0.0000  0.5000  4 Cd 3.11
Tl  0.5594  0.6955  0.5000  2 Cd 3.24, 2 Na 3.36, 2 Tl 3.56
Tl  0.6955  0.4406  0.5000  2 Cd 3.24, 2 Na 3.36, 2 Tl 3.56
Tl  0.8045  0.9406  0.5000  2 Cd 3.24, 2 Na 3.36, 2 Tl 3.56
Tl  0.9406  0.1955  0.5000  2 Cd 3.24, 2 Na 3.36, 2 Tl 3.56
Cd  0.1250  0.6250  0.0000  6 Tl 3.11-3.24, 1 Rb 3.47
Cd  0.3750  0.1250  0.0000  6 Tl 3.11-3.24, 1 Rb 3.47
Cd  0.6250  0.8750  0.0000  6 Tl 3.11-3.24, 1 Rb 3.47
Cd  0.8750  0.3750  0.0000  6 Tl 3.11-3.24, 1 Rb 3.47

Entry 5:
Entry from the Alexandria database: a relaxed Hf8Co2Ni crystal (GGA-PBE).

Output
Theoretical density   12488 kg/m3
Energy above the lowest structure with this stoichiometry   76.8 meV/atom
Calculated total energy   -100.808 eV/cell
ΔE_f   -0.108 eV per atom

a = 7.2223 Å, b = 7.2223 Å, c = 5.5644 Å
α = 91.70°, β = 91.70°, γ = 47.34°
With the nearest neighbours (Å) after each atom.
Fractional coordinates of all 11 atoms:
Hf  0.0928  0.0928  0.3518  1 Co 2.45
Hf  0.1450  0.6449  0.1683  2 Co 2.58-2.63, 1 Ni 2.70
Hf  0.2969  0.2969  0.6212  1 Co 2.72, 1 Ni 2.79, 1 Hf 3.05
Hf  0.3551  0.8550  0.8317  2 Co 2.58-2.63, 1 Ni 2.70
Hf  0.6449  0.1450  0.1683  2 Co 2.58-2.63, 1 Ni 2.70
Hf  0.7031  0.7031  0.3788  1 Co 2.72, 1 Ni 2.79, 1 Hf 3.05
Hf  0.8550  0.3551  0.8317  2 Co 2.58-2.63, 1 Ni 2.70
Hf  0.9072  0.9072  0.6482  1 Co 2.45
Co  0.2365  0.2365  0.0836  6 Hf 2.45-2.72
Co  0.7635  0.7635  0.9164  6 Hf 2.45-2.72
Ni  0.5000  0.5000  0.5000  6 Hf 2.70-2.79

Entry 6:
Entry from the Alexandria database: a relaxed Be2BS crystal (GGA-PBE).

Output
Theoretical density   2070 kg/m3
Energy relative to the elements, uncorrected   -0.26 eV/atom
Energy above the lowest structure with this stoichiometry   93.3 meV/atom
Calculated total energy   -38.594 eV/cell

a = 3.7859 Å, b = 3.1717 Å, c = 8.2633 Å
α = 90.00°, β = 100.06°, γ = 90.00°
With the nearest neighbours (Å) after each atom.
Fractional coordinates of all 8 atoms:
Be  0.0000  0.0000  0.0000  4 B 2.00-2.16, 1 S 2.08
Be  0.0595  0.5000  0.3583  3 S 1.95-2.06
Be  0.1788  0.5000  0.8358  4 B 1.91-2.06
Be  0.7474  0.0000  0.7049  2 S 2.01, 1 B 2.01
B  0.4834  0.0000  0.8954  2 B 1.76
B  0.6857  0.5000  0.9093  2 B 1.76, 1 Be 1.91
S  0.2060  0.0000  0.2506  3 Be 1.95-2.08
S  0.8713  0.5000  0.5772  3 Be 2.01-2.06

Entry 7:
Entry from the Alexandria database: a relaxed YScV2 crystal (GGA-PBE).

Output
Theoretical density   4513 kg/m3
Energy above the lowest structure with this stoichiometry   425.7 meV/atom
Calculated total energy   -55.292 eV/cell
ΔE_f   0.847 eV per atom

a = 6.1631 Å, b = 6.1631 Å, c = 6.1631 Å
α = 103.53°, β = 103.53°, γ = 122.15°
With the nearest neighbours (Å) after each atom.
Fractional coordinates of all 8 atoms:
Y  0.0000  0.0000  0.0000  4 V 2.88, 2 Sc 2.98
Y  0.7500  0.2500  0.5000  4 V 2.88, 2 Sc 2.98
Sc  0.2500  0.7500  0.5000  4 V 2.72, 2 Y 2.98
Sc  0.5000  0.5000  0.0000  4 V 2.72, 2 Y 2.98
V  0.1403  0.6250  0.0153  2 Sc 2.72, 2 Y 2.88, 2 V 2.99
V  0.3750  0.3903  0.5153  2 Sc 2.72, 2 Y 2.88, 2 V 2.99
V  0.6097  0.1250  0.9847  2 Sc 2.72, 2 Y 2.88, 2 V 2.99
V  0.8750  0.8597  0.4847  2 Sc 2.72, 2 Y 2.88, 2 V 2.99

Entry 8:
Entry from the Alexandria database: a relaxed SrHfAu3 crystal (GGA-PBE).

Output
Theoretical density   9790 kg/m3
Energy above the lowest structure with this stoichiometry   0.0 meV/atom
Calculated total energy   -22.447 eV/cell
ΔE_f   -0.196 eV per atom

a = 5.2580 Å, b = 5.2580 Å, c = 5.2580 Å
α = 90.00°, β = 90.00°, γ = 90.00°
With the nearest neighbours (Å) after each atom.
Fractional coordinates of all 5 atoms:
Sr  0.0000  0.0000  0.0000  12 Au 3.72
Hf  0.5000  0.5000  0.5000  6 Au 2.63
Au  0.0000  0.5000  0.5000  2 Hf 2.63
Au  0.5000  0.0000  0.5000  2 Hf 2.63
Au  0.5000  0.5000  0.0000  2 Hf 2.63